VASP calculation (GGA-PBE) on crystalline Y2AlSi3Pt4 at its relaxed geometry.

The calculation puts the density of states at the Fermi level at 5.23 states/eV per cell. The calculation puts the density at 10.06 g/cm³. The volume comes out at 177 Å³/cell.

The space group is P-4m2 (No. 115) and the conventional cell measures 4.1839, 4.1839 and 10.0843 Å, with angles of 90.00, 90.00 and 90.00 degrees. The asymmetric unit holds Y at (0.0000, 0.5000, 0.2503), Al at (0.0000, 0.0000, 0.5000), Si at (0.0000, 0.5000, 0.8683), Si at (0.5000, 0.5000, 0.5000), Pt at (0.0000, 0.0000, 0.0000), Pt at (0.0000, 0.5000, 0.6339) and Pt at (0.5000, 0.5000, 0.0000).

VASP calculation (GGA-PBE) on crystalline Y2AlSiPt6 at its relaxed geometry.

The calculation puts the density of states at the Fermi level at 10.99 states/eV per cell. The calculation puts the density at 11.66 g/cm³. The volume comes out at 599 Å³/cell.

The space group is R-3m (No. 166, hexagonal axes) and the conventional cell measures 5.6133, 5.6133 and 21.9657 Å, with angles of 90.00, 90.00 and 120.00 degrees. The asymmetric unit holds Y at (0.0000, 0.0000, 0.2056), Al at (0.0000, 0.0000, 0.5000), Si at (0.0000, 0.0000, 0.0000) and Pt at (0.0041, 0.5020, 0.2541).

VASP calculation (GGA-PBE) on crystalline YAlSiPt3 at its relaxed geometry.

The calculation puts the density of states at the Fermi level at 7.78 states/eV per cell. The calculation puts the density at 10.78 g/cm³. The volume comes out at 449 Å³/cell.

The space group is Cmcm (No. 63) and the conventional cell measures 6.8790, 11.8075 and 5.5332 Å, with angles of 90.00, 90.00 and 90.00 degrees. The asymmetric unit holds Y at (0.0000, 0.2031, 0.2500), Al at (0.0000, 0.4604, 0.2500), Si at (0.0000, 0.1243, 0.7500), Pt at (0.0000, 0.3204, 0.7500) and Pt at (0.2062, 0.0000, 0.0000).

VASP calculation (GGA-PBE) on crystalline SmAl9Pt2 at its relaxed geometry.

The calculation puts the density of states at the Fermi level at 12.77 states/eV per cell. The calculation puts the density at 6.32 g/cm³. The volume comes out at 823 Å³/cell. The formation enthalpy at 0 K comes out at -541 meV/atom.

The space group is I4_1/amd (No. 141, origin choice 2) and the conventional cell measures 10.7005, 10.7005 and 7.1851 Å, with angles of 90.00, 90.00 and 90.00 degrees. The asymmetric unit holds Sm at (0.0000, 0.2500, 0.3750), Al at (0.0000, 0.2500, 0.8750), Al at (0.1215, 0.0487, 0.6789) and Pt at (0.0000, 0.0000, 0.0000).

VASP calculation (GGA-PBE) on crystalline Sm3Al9Pt2 at its relaxed geometry.

The calculation puts the density of states at the Fermi level at 12.19 states/eV per cell. The calculation puts the density at 6.62 g/cm³. The volume comes out at 544 Å³/cell. The formation enthalpy at 0 K comes out at -711 meV/atom.

The space group is Immm (No. 71) and the conventional cell measures 4.3027, 10.1371 and 12.4774 Å, with angles of 90.00, 90.00 and 90.00 degrees. The asymmetric unit holds Sm at (0.0000, 0.0000, 0.0000), Sm at (0.0000, 0.0000, 0.3142), Al at (0.0000, 0.2809, 0.1242), Al at (0.0000, 0.3685, 0.3374), Al at (0.0000, 0.5000, 0.0000) and Pt at (0.0000, 0.2168, 0.5000).

VASP calculation (GGA-PBE) on crystalline Sm3Al6Pt5 at its relaxed geometry.

The calculation puts the density of states at the Fermi level at 14.24 states/eV per cell. The calculation puts the density at 10.10 g/cm³. The volume comes out at 522 Å³/cell. The formation enthalpy at 0 K comes out at -1087 meV/atom.

The space group is Pmmn (No. 59, origin choice 2) and the conventional cell measures 4.2879, 12.8877 and 9.4498 Å, with angles of 90.00, 90.00 and 90.00 degrees. The asymmetric unit holds Sm at (0.2500, 0.0513, 0.2484), Sm at (0.2500, 0.7500, 0.2597), Al at (0.2500, 0.0684, 0.5863), Al at (0.2500, 0.2500, 0.0415), Al at (0.2500, 0.2500, 0.4216), Al at (0.2500, 0.5965, 0.9804), Pt at (0.2500, 0.0949, 0.8697), Pt at (0.2500, 0.6333, 0.5368) and Pt at (0.2500, 0.7500, 0.8003).

Number 1: total moment 0.0 μB/cell, final energy -0.2515 hartree per atom. Number 2: total moment 0.0 μB/cell, final energy -0.2490 hartree per atom. Number 3: total moment 0.0 μB/cell, final energy -0.2388 hartree per atom. Number 4: total moment 0.0 μB/cell, final energy -0.1745 hartree per atom. Number 5: total moment 0.0 μB/cell, final energy -0.1834 hartree per atom. Number 6: total moment 0.0 μB/cell, final energy -0.2153 hartree per atom.